(w)
## FeSnAsSe2 (PBE)

Data for an optimized crystal structure of FeSnAsSe2.

Geometry as POSCAR:
```
FeSnAsSe2
1.0
5.248 0.000 0.000
0.000 5.248 0.000
0.000 0.000 5.203
Fe Sn As Se
1 1 1 2
direct
0.000 0.000 0.000 Fe
0.500 0.500 0.500 Sn
0.500 0.500 0.000 As
0.000 0.500 0.500 Se
0.500 0.000 0.500 Se
```

Results
DOS at the Fermi energy: 7.5 states/eV/f.u.
M_tot: 4.131 μB/f.u.

=====

(x)
## FeSnAsSe2 (PBE)

Data for an optimized crystal structure of FeSnAsSe2.

Geometry as POSCAR:
```
FeSnAsSe2
1.0
4.991 0.000 0.000
0.000 4.991 0.000
0.000 0.000 4.368
Fe Sn As Se
1 1 1 2
direct
0.000 0.000 0.000 Fe
0.500 0.500 0.500 Sn
0.000 0.000 0.500 As
0.000 0.500 0.000 Se
0.500 0.000 0.000 Se
```

Results
DOS at the Fermi energy: 8.8 states/eV/f.u.
M_tot: 0.000 μB/f.u.

=====

Most stable: (x). Least stable: (w).

=====

(w)
## SrFeAs2Se (PBE)

Data for an optimized crystal structure of SrFeAs2Se.

Geometry as POSCAR:
```
SrFeAs2Se
1.0
4.490 0.000 0.000
0.000 4.490 0.000
0.000 0.000 5.647
Sr Fe As Se
1 1 2 1
direct
0.000 0.000 0.000 Sr
0.500 0.500 0.500 Fe
0.000 0.500 0.500 As
0.500 0.000 0.500 As
0.500 0.500 0.000 Se
```

Results
DOS at the Fermi energy: 3.1 states/eV/f.u.
M_tot: 0.000 μB/f.u.

=====

(x)
## SrFeAs2Se (PBE)

Data for an optimized crystal structure of SrFeAs2Se.

Geometry as POSCAR:
```
SrFeAs2Se
1.0
5.622 0.000 0.000
0.000 5.622 0.000
0.000 0.000 5.596
Sr Fe As Se
1 1 2 1
direct
0.000 0.000 0.000 Sr
0.500 0.500 0.500 Fe
0.000 0.500 0.000 As
0.500 0.000 0.000 As
0.000 0.000 0.500 Se
```

Results
DOS at the Fermi energy: 9.4 states/eV/f.u.
M_tot: 2.897 μB/f.u.

=====

Most stable: (w). Least stable: (x).

=====

(w)
## SrFeAsSe2 (PBE)

Data for an optimized crystal structure of SrFeAsSe2.

Geometry as POSCAR:
```
SrFeAsSe2
1.0
5.124 0.000 0.000
0.000 5.124 0.000
0.000 0.000 4.462
Sr Fe As Se
1 1 1 2
direct
0.000 0.000 0.000 Sr
0.500 0.500 0.500 Fe
0.500 0.500 0.000 As
0.000 0.500 0.500 Se
0.500 0.000 0.500 Se
```

Results
DOS at the Fermi energy: 4.8 states/eV/f.u.
M_tot: 1.977 μB/f.u.

=====

(x)
## SrFeAsSe2 (PBE)

Data for an optimized crystal structure of SrFeAsSe2.

Geometry as POSCAR:
```
SrFeAsSe2
1.0
5.663 0.000 0.000
0.000 5.663 0.000
0.000 0.000 5.671
Sr Fe As Se
1 1 1 2
direct
0.000 0.000 0.000 Sr
0.500 0.500 0.500 Fe
0.000 0.000 0.500 As
0.000 0.500 0.000 Se
0.500 0.000 0.000 Se
```

Results
DOS at the Fermi energy: 11.0 states/eV/f.u.
M_tot: 2.711 μB/f.u.

=====

Most stable: (w). Least stable: (x).

=====

(w)
## TaFeAsSe2 (PBE)

Data for an optimized crystal structure of TaFeAsSe2.

Geometry as POSCAR:
```
TaFeAsSe2
1.0
4.645 0.000 0.000
0.000 4.645 0.000
0.000 0.000 4.440
Ta Fe As Se
1 1 1 2
direct
0.000 0.000 0.000 Ta
0.500 0.500 0.500 Fe
0.500 0.500 0.000 As
0.000 0.500 0.500 Se
0.500 0.000 0.500 Se
```

Results
DOS at the Fermi energy: 6.7 states/eV/f.u.
M_tot: 1.278 μB/f.u.

=====

(x)
## TaFeAsSe2 (PBE)

Data for an optimized crystal structure of TaFeAsSe2.

Geometry as POSCAR:
```
TaFeAsSe2
1.0
4.971 0.000 0.000
0.000 4.971 0.000
0.000 0.000 5.092
Ta Fe As Se
1 1 1 2
direct
0.000 0.000 0.000 Ta
0.500 0.500 0.500 Fe
0.000 0.000 0.500 As
0.000 0.500 0.000 Se
0.500 0.000 0.000 Se
```

Results
DOS at the Fermi energy: 5.3 states/eV/f.u.
M_tot: 3.899 μB/f.u.

=====

Most stable: (x). Least stable: (w).

=====

(w)
## TiFeAs2Se (PBE)

Data for an optimized crystal structure of TiFeAs2Se.

Geometry as POSCAR:
```
TiFeAs2Se
1.0
5.064 0.000 0.000
0.000 5.064 0.000
0.000 0.000 4.280
Ti Fe As Se
1 1 2 1
direct
0.000 0.000 0.000 Ti
0.500 0.500 0.000 Fe
0.000 0.500 0.500 As
0.500 0.000 0.500 As
0.500 0.500 0.500 Se
```

Results
DOS at the Fermi energy: 7.0 states/eV/f.u.
M_tot: 1.531 μB/f.u.

=====

(x)
## TiFeAs2Se (PBE)

Data for an optimized crystal structure of TiFeAs2Se.

Geometry as POSCAR:
```
TiFeAs2Se
1.0
4.882 0.000 0.000
0.000 4.882 0.000
0.000 0.000 4.852
Ti Fe As Se
1 1 2 1
direct
0.000 0.000 0.000 Ti
0.500 0.500 0.500 Fe
0.000 0.500 0.000 As
0.500 0.000 0.000 As
0.000 0.000 0.500 Se
```

Results
DOS at the Fermi energy: 7.0 states/eV/f.u.
M_tot: 3.301 μB/f.u.

=====

(y)
## TiFeAs2Se (PBE)

Data for an optimized crystal structure of TiFeAs2Se.

Geometry as POSCAR:
```
TiFeAs2Se
1.0
4.388 0.000 0.000
0.000 4.388 0.000
0.000 0.000 5.191
Ti Fe As Se
1 1 2 1
direct
0.000 0.000 0.000 Ti
0.500 0.500 0.500 Fe
0.000 0.500 0.500 As
0.500 0.000 0.500 As
0.500 0.500 0.000 Se
```

Results
DOS at the Fermi energy: 5.8 states/eV/f.u.
M_tot: 2.318 μB/f.u.

=====

Most stable: (y). Least stable: (w).

=====

(w)
## TlFeAs2Se (PBE)

Data for an optimized crystal structure of TlFeAs2Se.

Geometry as POSCAR:
```
TlFeAs2Se
1.0
4.477 0.000 0.000
0.000 4.477 0.000
0.000 0.000 5.559
Tl Fe As Se
1 1 2 1
direct
0.000 0.000 0.000 Tl
0.500 0.500 0.500 Fe
0.000 0.500 0.500 As
0.500 0.000 0.500 As
0.500 0.500 0.000 Se
```

Results
DOS at the Fermi energy: 3.3 states/eV/f.u.
M_tot: 0.000 μB/f.u.

=====

(x)
## TlFeAs2Se (PBE)

Data for an optimized crystal structure of TlFeAs2Se.

Geometry as POSCAR:
```
TlFeAs2Se
1.0
5.090 0.000 0.000
0.000 5.090 0.000
0.000 0.000 5.169
Tl Fe As Se
1 1 2 1
direct
0.000 0.000 0.000 Tl
0.500 0.500 0.500 Fe
0.000 0.500 0.000 As
0.500 0.000 0.000 As
0.000 0.000 0.500 Se
```

Results
DOS at the Fermi energy: 6.8 states/eV/f.u.
M_tot: 0.026 μB/f.u.

=====

Most stable: (w). Least stable: (x).